[1]
SrP2AuO | meta-GGA SCAN | PBEsol geometry

Calculated values
Calculated total energy (Ha/atom): -0.831
N(E_F) (states/eV per atom): 0.87
Total magnetic moment (μB per cell): 0.00

Cell lengths 4.036, 5.467, 5.467 Å; angles 90.00, 90.00, 90.00 degrees
Fractional coordinates of all 5 atoms:
1 Sr 0.000 0.000 0.000
2 Au 0.500 0.500 0.500
3 O 0.500 0.000 0.000
4 P 0.000 0.000 0.500
5 P 0.000 0.500 0.000

***

[2]
Re2NiPb | meta-GGA SCAN | PBEsol geometry

Calculated values
Calculated total energy (Ha/atom): -2.118
Formation energy (eV/atom): 0.9065
N(E_F) (states/eV per atom): 0.85
Total magnetic moment (μB per cell): 0.00

Cell lengths 4.442, 4.442, 4.442 Å; angles 60.00, 60.00, 60.00 degrees
Fractional coordinates of all 4 atoms:
1 Ni 0.500 0.500 0.500
2 Pb 0.250 0.250 0.250
3 Re 0.000 0.000 0.000
4 Re 0.750 0.750 0.750

***

> Look up the calculated total energy of the second one.

-2.118 Ha/atom

***

> Among the records above, which one has the lowest calculated total energy?

Re2NiPb